Entry 1:
DFT (PBEsol) results for a relaxed structure of Fe2GeSb.

Computed properties:
As for the magnetic moment: 0.98 Bohr magnetons per cell. The symmetry is Fm-3m. For the final energy, the calculation gives -6.6815 eV/atom.

a b c (Å): 4.2307 4.2307 4.2307
angles (deg): 60.00 60.00 60.00
Each line ends with the local moment (μB).
Atoms (fractional coordinates):
1 Fe 0.2500 0.2500 0.2500  0.55
2 Fe 0.7500 0.7500 0.7500  0.55
3 Sb 0.5000 0.5000 0.5000  -0.02
4 Ge 0.0000 0.0000 0.0000  -0.03


Entry 2:
DFT (PBEsol) results for a relaxed structure of Sr3DyMn2O8.

Computed properties:
As for the magnetic moment: 6.77 Bohr magnetons per cell. The symmetry is Amm2. For the final energy, the calculation gives -7.7586 eV/atom.

a b c (Å): 5.3727 5.3791 6.6150
angles (deg): 90.00 113.96 90.00
Each line ends with the local moment (μB).
Atoms (fractional coordinates):
1 O 0.8440 0.0000 0.6881  0.04
2 O 0.3236 0.5000 0.6472  0.02
3 O 0.1605 0.0000 0.3210  0.02
4 O 0.7629 0.2590 0.0119  0.06
5 O 0.7629 0.7410 0.0119  0.06
6 O 0.2490 0.7410 0.0119  0.06
7 O 0.6579 0.5000 0.3158  0.00
8 O 0.2490 0.2590 0.0119  0.06
9 Dy 0.1335 0.5000 0.2670  0.04
10 Sr 0.3579 0.0000 0.7157  0.00
11 Sr 0.8541 0.5000 0.7083  0.01
12 Sr 0.6450 0.0000 0.2899  0.01
13 Mn 0.0003 0.0000 0.0005  3.00
14 Mn 0.4995 0.5000 0.9989  3.06


Entry 3:
DFT (PBEsol) results for a relaxed structure of MgAsCl2.

Computed properties:
As for the magnetic moment: 0.42 Bohr magnetons per cell. The symmetry is Fm-3m. The excess energy over the best structure of this formula in the dataset comes out at 535.4 meV per atom. For the final energy, the calculation gives -2.8531 eV/atom.

a b c (Å): 4.7953 4.7953 4.7953
angles (deg): 60.00 60.00 60.00
Each line ends with the local moment (μB).
Atoms (fractional coordinates):
1 Cl 0.2500 0.2500 0.2500  0.03
2 Cl 0.7500 0.7500 0.7500  0.03
3 Mg 0.5000 0.5000 0.5000  0.01
4 As 0.0000 0.0000 0.0000  0.16


Entry 4:
DFT (PBEsol) results for a relaxed structure of Cd2Ga2Bi.

Computed properties:
As for the magnetic moment: 0.00 Bohr magnetons per cell. The symmetry is P4/mbm. For the final energy, the calculation gives -2.5910 eV/atom.

a b c (Å): 3.1846 8.3532 8.3532
angles (deg): 90.00 90.00 90.00
Atoms (fractional coordinates):
1 Ga 0.5000 0.8325 0.3325
2 Ga 0.5000 0.1675 0.6675
3 Ga 0.5000 0.3325 0.1675
4 Ga 0.5000 0.6675 0.8325
5 Bi 0.0000 0.5000 0.5000
6 Bi 0.0000 0.0000 0.0000
7 Cd 0.0000 0.8697 0.6303
8 Cd 0.0000 0.6303 0.1303
9 Cd 0.0000 0.1303 0.3697
10 Cd 0.0000 0.3697 0.8697


Entry 5:
DFT (PBEsol) results for a relaxed structure of OsPtAu2Se.

Computed properties:
As for the magnetic moment: 0.00 Bohr magnetons per cell. The symmetry is P4/mmm. For the final energy, the calculation gives -4.6127 eV/atom.

a b c (Å): 4.7096 4.9356 4.9356
angles (deg): 90.00 90.00 90.00
Atoms (fractional coordinates):
1 Os 0.0000 0.0000 0.0000
2 Au 0.0000 0.5000 0.0000
3 Au 0.0000 0.0000 0.5000
4 Pt 0.5000 0.0000 0.0000
5 Se 0.5000 0.5000 0.5000


Entry 6:
DFT (PBEsol) results for a relaxed structure of TaTi2GaRe.

Computed properties:
As for the magnetic moment: 0.00 Bohr magnetons per cell. The symmetry is P4/mmm. For the final energy, the calculation gives -7.7658 eV/atom.

a b c (Å): 4.7057 4.6989 4.6989
angles (deg): 90.00 90.00 90.00
Atoms (fractional coordinates):
1 Ti 0.0000 0.5000 0.0000
2 Ti 0.0000 0.0000 0.5000
3 Ta 0.0000 0.0000 0.0000
4 Ga 0.5000 0.5000 0.5000
5 Re 0.5000 0.0000 0.0000


Entry 7:
DFT (PBEsol) results for a relaxed structure of MnCdMo2.

Computed properties:
As for the magnetic moment: 2.52 Bohr magnetons per cell. The symmetry is I4/mmm. For the final energy, the calculation gives -8.1685 eV/atom.

a b c (Å): 3.7458 3.7458 5.1026
angles (deg): 111.53 111.53 90.00
Each line ends with the local moment (μB).
Atoms (fractional coordinates):
1 Cd 0.5000 0.5000 0.0000  -0.01
2 Mo 0.7500 0.2500 0.5000  -0.14
3 Mo 0.2500 0.7500 0.5000  -0.14
4 Mn 0.0000 0.0000 0.0000  2.72


Entry 8:
DFT (PBEsol) results for a relaxed structure of BeZn2As.

Computed properties:
As for the magnetic moment: 0.00 Bohr magnetons per cell. The symmetry is I-42d. The excess energy over the best structure of this formula in the dataset comes out at 0.0 meV per atom. For the final energy, the calculation gives -2.8540 eV/atom.

a b c (Å): 3.9131 3.9131 8.4301
angles (deg): 103.42 103.42 90.00
Atoms (fractional coordinates):
1 Zn 0.6250 0.5736 0.7500
2 Zn 0.1250 0.1764 0.7500
3 Zn 0.8236 0.3750 0.2500
4 Zn 0.4264 0.8750 0.2500
5 Be 0.5000 0.5000 0.0000
6 Be 0.7500 0.2500 0.5000
7 As 0.0000 0.0000 0.0000
8 As 0.2500 0.7500 0.5000


Entry 9:
DFT (PBEsol) results for a relaxed structure of BaAg2S2.

Computed properties:
As for the magnetic moment: 0.00 Bohr magnetons per cell. The symmetry is I4/mmm. For the final energy, the calculation gives -4.3805 eV/atom.

a b c (Å): 4.0391 4.0391 7.2260
angles (deg): 106.23 106.23 90.00
Atoms (fractional coordinates):
1 Ag 0.7500 0.2500 0.5000
2 Ag 0.2500 0.7500 0.5000
3 Ba 0.0000 0.0000 0.0000
4 S 0.6226 0.6226 0.2453
5 S 0.3774 0.3774 0.7547


Entry 10:
DFT (PBEsol) results for a relaxed structure of Mg3OsN.

Computed properties:
As for the magnetic moment: 2.04 Bohr magnetons per cell. The symmetry is Pm-3m. For the final energy, the calculation gives -3.5409 eV/atom.

a b c (Å): 4.9315 4.9315 4.9315
angles (deg): 90.00 90.00 90.00
Each line ends with the local moment (μB).
Atoms (fractional coordinates):
1 Mg 0.5000 0.0000 0.0000  -0.02
2 Mg 0.0000 0.0000 0.5000  -0.02
3 Mg 0.0000 0.5000 0.0000  -0.02
4 Os 0.0000 0.0000 0.0000  0.31
5 N 0.5000 0.5000 0.5000  1.42


Entry 11:
DFT (PBEsol) results for a relaxed structure of LiMg3.

Computed properties:
As for the magnetic moment: 0.00 Bohr magnetons per cell. The symmetry is Cmcm. For the final energy, the calculation gives -1.8069 eV/atom.

a b c (Å): 5.0830 6.2371 6.2219
angles (deg): 59.92 90.00 90.00
Atoms (fractional coordinates):
1 Mg 0.7500 0.0890 0.3287
2 Mg 0.2500 0.9154 0.1693
3 Mg 0.7500 0.5823 0.3287
4 Mg 0.2500 0.4177 0.6713
5 Mg 0.7500 0.0846 0.8307
6 Mg 0.2500 0.9110 0.6713
7 Li 0.7500 0.5846 0.8308
8 Li 0.2500 0.4154 0.1692


Entry 12:
DFT (PBEsol) results for a relaxed structure of SbPIrO2.

Computed properties:
As for the magnetic moment: 0.01 Bohr magnetons per cell. The symmetry is P4/mmm. The excess energy over the best structure of this formula in the dataset comes out at 0.0 meV per atom. For the final energy, the calculation gives -6.2263 eV/atom.

a b c (Å): 3.8663 3.8663 4.9327
angles (deg): 90.00 90.00 90.00
Atoms (fractional coordinates):
1 Sb 0.5000 0.5000 0.5000
2 O 0.0000 0.5000 0.0000
3 O 0.5000 0.0000 0.0000
4 P 0.0000 0.0000 0.5000
5 Ir 0.0000 0.0000 0.0000